Entry 1:
Computed, not measured: a geometry-optimized Rb2AlCd structure at the GGA-PBE level of DFT.

Calculated values
- Fermi-level density of states (states/eV per cell) = 4.2
- M_tot (μB per formula unit) = 1.39
- excess energy over the best structure of this formula in the dataset (meV/atom) = 0.0

Cell lengths 6.275, 6.275, 6.275 Å; angles 60.00, 60.00, 60.00 degrees
Fractional coordinates of all 4 atoms:
1 Rb 0.250 0.250 0.250
2 Rb 0.750 0.750 0.750
3 Al 0.000 0.000 0.000
4 Cd 0.500 0.500 0.500

Entry 2:
Computed, not measured: a geometry-optimized CaPb5Se6 structure at the GGA-PBE level of DFT.

Calculated values
- M_tot (μB per formula unit) = 0.00
- uncorrected formation energy (meV per atom) = -802.9

Cell lengths 7.559, 7.559, 7.562 Å; angles 99.59, 99.59, 119.95 degrees
Fractional coordinates of all 12 atoms:
1 Ca 0.000 0.000 0.000
2 Pb 0.166 0.834 0.500
3 Pb 0.333 0.667 0.000
4 Pb 0.500 0.500 0.500
5 Pb 0.667 0.333 0.000
6 Pb 0.834 0.166 0.500
7 Se 0.081 0.406 0.244
8 Se 0.243 0.243 0.753
9 Se 0.406 0.081 0.244
10 Se 0.594 0.919 0.756
11 Se 0.757 0.757 0.247
12 Se 0.919 0.594 0.756

Entry 3:
Computed, not measured: a geometry-optimized AcNdSmS3 structure at the GGA-PBE level of DFT.

Calculated values
- Fermi-level density of states (states/eV per cell) = 4.6
- M_tot (μB per formula unit) = 0.70
- uncorrected formation energy (meV per atom) = -1797.6

Cell lengths 7.952, 4.118, 10.301 Å; angles 90.00, 102.79, 90.00 degrees
Fractional coordinates of all 12 atoms:
1 Ac 0.185 0.250 0.210
2 Ac 0.815 0.750 0.790
3 Nd 0.338 0.750 0.906
4 Nd 0.662 0.250 0.094
5 Sm 0.178 0.250 0.620
6 Sm 0.822 0.750 0.380
7 S 0.092 0.250 0.886
8 S 0.188 0.750 0.436
9 S 0.472 0.750 0.194
10 S 0.528 0.250 0.806
11 S 0.812 0.250 0.564
12 S 0.908 0.750 0.114

Entry 4:
Computed, not measured: a geometry-optimized GaAgI2O structure at the GGA-PBE level of DFT.

Calculated values
- Fermi-level density of states (states/eV per cell) = 1.5
- M_tot (μB per formula unit) = 0.00
- uncorrected formation energy (meV per atom) = -343.9
- excess energy over the best structure of this formula in the dataset (meV/atom) = 0.0

Cell lengths 5.835, 5.835, 3.631 Å; angles 90.00, 90.00, 90.00 degrees
Fractional coordinates of all 5 atoms:
1 Ga 0.000 0.000 0.000
2 Ag 0.500 0.500 0.500
3 I 0.000 0.500 0.000
4 I 0.500 0.000 0.000
5 O 0.000 0.000 0.500

Entry 5:
Computed, not measured: a geometry-optimized DyCuPd structure at the GGA-PBE level of DFT.

Calculated values
- Fermi-level density of states (states/eV per cell) = 3.9
- M_tot (μB per formula unit) = 0.00
- excess energy over the best structure of this formula in the dataset (meV/atom) = 0.0

Cell lengths 7.068, 3.976, 8.093 Å; angles 90.00, 90.00, 90.00 degrees
Fractional coordinates of all 12 atoms:
1 Dy 0.049 0.250 0.196
2 Dy 0.451 0.750 0.696
3 Dy 0.549 0.250 0.304
4 Dy 0.951 0.750 0.804
5 Cu 0.124 0.250 0.568
6 Cu 0.376 0.750 0.068
7 Cu 0.624 0.250 0.932
8 Cu 0.876 0.750 0.432
9 Pd 0.246 0.250 0.886
10 Pd 0.254 0.750 0.386
11 Pd 0.746 0.250 0.614
12 Pd 0.754 0.750 0.114

Entry 6:
Computed, not measured: a geometry-optimized Tb3B9Os2 structure at the GGA-PBE level of DFT.

Calculated values
- uncorrected energy (eV/atom) = -7.07
- Fermi-level density of states (states/eV per cell) = 8.4
- M_tot (μB per formula unit) = 0.00

Cell lengths 8.008, 8.008, 8.008 Å; angles 157.27, 119.95, 65.07 degrees
Fractional coordinates of all 14 atoms:
1 Tb 0.000 0.000 0.000
2 Tb 0.268 0.268 0.000
3 Tb 0.732 0.732 0.000
4 B 0.048 0.365 0.683
5 B 0.123 0.869 0.254
6 B 0.319 0.635 0.683
7 B 0.384 0.131 0.254
8 B 0.500 0.000 0.500
9 B 0.616 0.869 0.746
10 B 0.681 0.365 0.317
11 B 0.877 0.131 0.746
12 B 0.952 0.635 0.317
13 Os 0.327 0.500 0.827
14 Os 0.673 0.500 0.173

Entry 7:
Computed, not measured: a geometry-optimized USbOs structure at the GGA-PBE level of DFT.

Calculated values
- Fermi-level density of states (states/eV per cell) = 10.4
- M_tot (μB per formula unit) = 0.85
- uncorrected formation energy (meV per atom) = 235.2

Cell lengths 4.298, 4.298, 8.440 Å; angles 100.32, 100.32, 97.89 degrees
Fractional coordinates of all 6 atoms:
1 U 0.148 0.148 0.202
2 U 0.852 0.852 0.798
3 Sb 0.245 0.755 0.500
4 Sb 0.755 0.245 0.500
5 Os 0.295 0.705 0.000
6 Os 0.705 0.295 0.000

Entry 8:
Computed, not measured: a geometry-optimized Rb2NaBr structure at the GGA-PBE level of DFT.

Calculated values
- Fermi-level density of states (states/eV per cell) = 1.9
- M_tot (μB per formula unit) = 0.00
- uncorrected formation energy (meV per atom) = -787.3
- excess energy over the best structure of this formula in the dataset (meV/atom) = 0.0

Cell lengths 11.411, 11.411, 11.411 Å; angles 24.28, 24.28, 24.28 degrees
Fractional coordinates of all 4 atoms:
1 Rb 0.231 0.231 0.231
2 Rb 0.769 0.769 0.769
3 Na 0.000 0.000 0.000
4 Br 0.500 0.500 0.500

Entry 9:
Computed, not measured: a geometry-optimized V2TcAs2 structure at the GGA-PBE level of DFT.

Calculated values
- Fermi-level density of states (states/eV per cell) = 8.5
- M_tot (μB per formula unit) = 0.00
- excess energy over the best structure of this formula in the dataset (meV/atom) = 241.2

Cell lengths 6.791, 6.791, 3.221 Å; angles 90.00, 90.00, 90.00 degrees
Fractional coordinates of all 10 atoms:
1 V 0.137 0.363 0.000
2 V 0.363 0.863 0.000
3 V 0.637 0.137 0.000
4 V 0.863 0.637 0.000
5 Tc 0.000 0.000 0.000
6 Tc 0.500 0.500 0.000
7 As 0.165 0.665 0.500
8 As 0.335 0.165 0.500
9 As 0.665 0.835 0.500
10 As 0.835 0.335 0.500

Entry 10:
Computed, not measured: a geometry-optimized Sc2TaTl2 structure at the GGA-PBE level of DFT.

Calculated values
- uncorrected energy (eV/atom) = -5.67
- Fermi-level density of states (states/eV per cell) = 9.9
- M_tot (μB per formula unit) = 0.00

Cell lengths 7.971, 7.971, 3.516 Å; angles 90.00, 90.00, 90.00 degrees
Fractional coordinates of all 10 atoms:
1 Sc 0.171 0.329 0.000
2 Sc 0.329 0.829 0.000
3 Sc 0.671 0.171 0.000
4 Sc 0.829 0.671 0.000
5 Ta 0.000 0.000 0.500
6 Ta 0.500 0.500 0.500
7 Tl 0.134 0.634 0.500
8 Tl 0.366 0.134 0.500
9 Tl 0.634 0.866 0.500
10 Tl 0.866 0.366 0.500

Entry 11:
Computed, not measured: a geometry-optimized Th3UPa2P6 structure at the GGA-PBE level of DFT.

Calculated values
- uncorrected energy (eV/atom) = -8.45
- Fermi-level density of states (states/eV per cell) = 13.7
- M_tot (μB per formula unit) = 2.07

Cell lengths 9.066, 9.066, 8.104 Å; angles 103.15, 103.15, 25.80 degrees
Fractional coordinates of all 12 atoms:
1 Th 0.000 0.000 0.000
2 Th 0.333 0.333 0.667
3 Th 0.667 0.667 0.333
4 U 0.000 0.000 0.500
5 Pa 0.334 0.334 0.168
6 Pa 0.666 0.666 0.832
7 P 0.163 0.163 0.590
8 P 0.170 0.170 0.075
9 P 0.497 0.497 0.259
10 P 0.503 0.503 0.741
11 P 0.830 0.830 0.925
12 P 0.837 0.837 0.410

Entry 12:
Computed, not measured: a geometry-optimized Mg2Sc5Ir2Pt structure at the GGA-PBE level of DFT.

Calculated values
- uncorrected energy (eV/atom) = -6.54
- Fermi-level density of states (states/eV per cell) = 20.2
- M_tot (μB per formula unit) = 0.00

Cell lengths 10.979, 10.979, 3.441 Å; angles 90.00, 90.00, 90.00 degrees
Fractional coordinates of all 20 atoms:
1 Mg 0.175 0.325 0.000
2 Mg 0.325 0.825 0.000
3 Mg 0.675 0.175 0.000
4 Mg 0.825 0.675 0.000
5 Sc 0.000 0.500 0.500
6 Sc 0.069 0.803 0.500
7 Sc 0.197 0.069 0.500
8 Sc 0.303 0.569 0.500
9 Sc 0.431 0.303 0.500
10 Sc 0.500 0.000 0.500
11 Sc 0.569 0.697 0.500
12 Sc 0.697 0.431 0.500
13 Sc 0.803 0.931 0.500
14 Sc 0.931 0.197 0.500
15 Ir 0.133 0.633 0.000
16 Ir 0.367 0.133 0.000
17 Ir 0.633 0.867 0.000
18 Ir 0.867 0.367 0.000
19 Pt 0.000 0.000 0.000
20 Pt 0.500 0.500 0.000

Question: What is the M_tot in the second record?
Answer: 0.00 μB per formula unit